Here is a geometry-optimized CdPdPbAu structure from the Alexandria database. Energies are from PBE-GGA.

Structure (CIF):
```
data_CdPdPbAu
_cell_length_a 6.895
_cell_length_b 6.895
_cell_length_c 6.895
_cell_angle_alpha 90.00
_cell_angle_beta 90.00
_cell_angle_gamma 90.00
_space_group_name_H-M_alt 'P 1'
_space_group_IT_number 1
loop_
_space_group_symop_operation_xyz
'x,y,z'
loop_
_atom_site_label
_atom_site_type_symbol
_atom_site_fract_x
_atom_site_fract_y
_atom_site_fract_z
Cd1 Cd 0.000 0.000 0.000
Cd2 Cd 0.000 0.500 0.500
Cd3 Cd 0.500 0.000 0.500
Cd4 Cd 0.500 0.500 0.000
Pd1 Pd 0.250 0.250 0.250
Pd2 Pd 0.250 0.750 0.750
Pd3 Pd 0.750 0.250 0.750
Pd4 Pd 0.750 0.750 0.250
Pb1 Pb 0.000 0.000 0.500
Pb2 Pb 0.000 0.500 0.000
Pb3 Pb 0.500 0.000 0.000
Pb4 Pb 0.500 0.500 0.500
Au1 Au 0.250 0.250 0.750
Au2 Au 0.250 0.750 0.250
Au3 Au 0.750 0.250 0.250
Au4 Au 0.750 0.750 0.750
```

## Properties
energy of formation from the pure elements	-0.1484	eV/atom
final energy	-3.422	eV/atom
space-group type	No. 216